# 1
## Cs3Pr2HoTe6 (GGA-PBE)

Data for a relaxed structure of Cs3Pr2HoTe6.

Results
Total magnetization   0.00 μB per cell
Calculated total energy   -4.365 eV per atom
ΔE_f (raw)   -16.83 eV/f.u.
Space-group type   C2/m

abc: 8.0599 8.0599 9.3396
angles: 98.28 98.28 120.00
Positions (direct):
Cs1 0.1694 0.8306 0.5000
Cs2 0.8306 0.1694 0.5000
Cs3 0.5000 0.5000 0.5000
Pr1 0.3336 0.6664 0.0000
Pr2 0.6664 0.3336 0.0000
Ho1 0.0000 0.0000 0.0000
Te1 0.9357 0.6122 0.8069
Te2 0.7414 0.7414 0.1942
Te3 0.0643 0.3878 0.1931
Te4 0.6122 0.9357 0.8069
Te5 0.2586 0.2586 0.8058
Te6 0.3878 0.0643 0.1931


# 2
## Sm2Ni4Sn3Ge (GGA-PBE)

Data for a relaxed structure of Sm2Ni4Sn3Ge.

Results
Total magnetization   0.00 μB per cell
Calculated total energy   -5.456 eV per atom
Space-group type   P-4m2
Energy relative to the elements   -0.54 eV per atom

abc: 4.3598 4.3598 10.0644
angles: 90.00 90.00 90.00
Positions (direct):
Sm1 0.5000 0.0000 0.2491
Sm2 0.0000 0.5000 0.7509
Ni1 0.5000 0.5000 0.0000
Ni2 0.0000 0.0000 0.0000
Ni3 0.5000 0.0000 0.6198
Ni4 0.0000 0.5000 0.3802
Sn1 0.0000 0.0000 0.5000
Sn2 0.5000 0.0000 0.8694
Sn3 0.0000 0.5000 0.1306
Ge1 0.5000 0.5000 0.5000


# 3
## Th2InN (GGA-PBE)

Data for a relaxed structure of Th2InN.

Results
Total magnetization   0.00 μB per cell
Calculated total energy   -6.867 eV per atom
ΔE_f (raw)   -1.56 eV/f.u.
Space-group type   P4/mmm

abc: 3.2537 3.2537 8.1592
angles: 90.00 90.00 90.00
Positions (direct):
N1 0.5000 0.5000 0.0000
Th1 0.0000 0.0000 0.8071
Th2 0.0000 0.0000 0.1929
In1 0.5000 0.5000 0.5000


# 4
## PuZrSc4 (GGA-PBE)

Data for a relaxed structure of PuZrSc4.

Results
Total magnetization   11.70 μB per cell
Calculated total energy   -7.959 eV per atom
Space-group type   Imm2
Energy relative to the elements   0.08 eV per atom
Energy above the lowest structure with this stoichiometry   0.21 eV per formula unit

abc: 8.7410 5.1655 6.3548
angles: 90.00 90.00 90.00
Each line ends with the local moment (μB).
Positions (direct):
Pu1 0.8905 0.2498 0.0000  -5.46
Pu2 0.3905 0.7502 0.5000  -5.46
Zr1 0.5771 0.2499 0.0000  0.10
Zr2 0.0771 0.7501 0.5000  0.10
Sc1 0.3966 0.7499 0.0000  0.06
Sc2 0.0518 0.7497 0.0000  -0.18
Sc3 0.2280 0.2499 0.7475  -0.05
Sc4 0.7280 0.7501 0.7525  -0.05
Sc5 0.5518 0.2503 0.5000  -0.18
Sc6 0.8966 0.2501 0.5000  0.06
Sc7 0.7280 0.7501 0.2475  -0.05
Sc8 0.2280 0.2499 0.2525  -0.05


# 5
## Ba6P2Au3Br (GGA-PBE)

Data for a relaxed structure of Ba6P2Au3Br.

Results
Total magnetization   0.00 μB per cell
Calculated total energy   -3.807 eV per atom
ΔE_f (raw)   -11.82 eV/f.u.
Space-group type   C2/m

abc: 4.6932 9.6783 10.6302
angles: 104.10 102.75 90.00
Positions (direct):
Ba1 0.3273 0.8960 0.6547
Ba2 0.6714 0.5636 0.3428
Ba3 0.6727 0.1040 0.3453
Ba4 0.0099 0.2640 0.0198
Ba5 0.9901 0.7360 0.9802
Ba6 0.3286 0.4364 0.6572
P1 0.8346 0.6764 0.6693
P2 0.1654 0.3236 0.3307
Au1 0.5000 0.5000 0.0000
Au2 0.8401 0.1704 0.6802
Au3 0.1599 0.8296 0.3198
Br1 0.5000 0.0000 0.0000


# 6
## ThGaCu3 (GGA-PBE)

Data for a relaxed structure of ThGaCu3.

Results
Total magnetization   0.00 μB per cell
Calculated total energy   -4.438 eV per atom
Space-group type   P4/mbm
Energy relative to the elements   0.11 eV per atom
Energy above the lowest structure with this stoichiometry   1.43 eV per formula unit

abc: 4.5717 6.4326 6.4355
angles: 90.00 90.00 90.00
Positions (direct):
Th1 0.5000 0.0000 0.0000
Th2 0.5000 0.5000 0.5000
Ga1 0.0000 0.5000 0.0000
Ga2 0.0000 0.0000 0.5000
Cu1 0.5000 0.5000 0.0000
Cu2 0.5000 0.0000 0.5000
Cu3 0.0000 0.7250 0.2750
Cu4 0.0000 0.2250 0.2250
Cu5 0.0000 0.2750 0.7250
Cu6 0.0000 0.7750 0.7750


# 7
## Li2Ac2Te3I2 (GGA-PBE)

Data for a relaxed structure of Li2Ac2Te3I2.

Results
Total magnetization   0.00 μB per cell
Calculated total energy   -3.994 eV per atom
ΔE_f (raw)   -11.38 eV/f.u.
Space-group type   I4/mmm

abc: 5.5039 5.5039 11.1552
angles: 104.28 104.28 90.00
Positions (direct):
Li1 0.5000 0.0000 0.0000
Li2 0.0000 0.5000 0.0000
Ac1 0.1658 0.1658 0.3316
Ac2 0.8342 0.8342 0.6684
Te1 0.0000 0.0000 0.0000
Te2 0.2500 0.7500 0.5000
Te3 0.7500 0.2500 0.5000
I1 0.5967 0.5967 0.1935
I2 0.4033 0.4033 0.8065


# 8
## BaTi2S4 (GGA-PBE)

Data for a relaxed structure of BaTi2S4.

Results
Total magnetization   1.86 μB per cell
Calculated total energy   -6.383 eV per atom
ΔE_f (raw)   -10.46 eV/f.u.
Space-group type   Cmcm

abc: 3.7862 6.3444 12.6118
angles: 90.00 90.00 107.36
Each line ends with the local moment (μB).
Positions (direct):
Ba1 0.6163 0.2327 0.7500  0.00
Ba2 0.3837 0.7673 0.2500  0.00
Ti1 0.1232 0.2465 0.4376  0.42
Ti2 0.8768 0.7535 0.9376  0.42
Ti3 0.1232 0.2465 0.0624  0.42
Ti4 0.8768 0.7535 0.5624  0.42
S1 0.7602 0.5205 0.0986  -0.01
S2 0.7602 0.5205 0.4014  -0.01
S3 0.2398 0.4795 0.9014  -0.01
S4 0.2398 0.4795 0.5986  -0.01
S5 0.9149 0.8298 0.7500  -0.04
S6 0.0851 0.1702 0.2500  -0.04
S7 0.5000 0.0000 0.0000  -0.02
S8 0.5000 0.0000 0.5000  -0.02


# 9
## Fe3NiRh2 (GGA-PBE)

Data for a relaxed structure of Fe3NiRh2.

Results
Total magnetization   19.54 μB per cell
Calculated total energy   -7.659 eV per atom
Space-group type   Cmmm
Energy relative to the elements   -0.01 eV per atom
Energy above the lowest structure with this stoichiometry   0.00 eV per formula unit

abc: 3.7590 5.9570 7.1870
angles: 90.00 90.00 71.61
Each line ends with the local moment (μB).
Positions (direct):
Fe1 0.8304 0.3393 0.7594  2.76
Fe2 0.5000 0.0000 0.2444  2.77
Fe3 0.1696 0.6607 0.2406  2.76
Fe4 0.8303 0.3393 0.2406  2.76
Fe5 0.1697 0.6607 0.7594  2.76
Fe6 0.5000 0.0000 0.7556  2.77
Ni1 0.3300 0.3399 0.0000  0.77
Ni2 0.6700 0.6601 0.0000  0.77
Rh1 0.0000 0.0000 0.0000  0.67
Rh2 0.0000 0.0000 0.5000  0.33
Rh3 0.3332 0.3335 0.5000  0.35
Rh4 0.6668 0.6665 0.5000  0.35


# 10
## TaTcPd2F (GGA-PBE)

Data for a relaxed structure of TaTcPd2F.

Results
Total magnetization   2.88 μB per cell
Calculated total energy   -6.551 eV per atom
ΔE_f (raw)   1.72 eV/f.u.
Space-group type   P4/mmm

abc: 4.9384 3.9043 4.9384
angles: 90.00 90.00 90.00
Each line ends with the local moment (μB).
Positions (direct):
F1 0.0000 0.5000 0.0000  -0.01
Tc1 0.5000 0.5000 0.5000  2.96
Pd1 0.0000 0.0000 0.5000  0.00
Pd2 0.5000 0.0000 0.0000  0.03
Ta1 0.0000 0.0000 0.0000  -0.31


# 11
## CaTe2Pt (GGA-PBE)

Data for a relaxed structure of CaTe2Pt.

Results
Total magnetization   0.00 μB per cell
Calculated total energy   -3.860 eV per atom
ΔE_f (raw)   -1.11 eV/f.u.
Space-group type   Pmmm
Energy above the lowest structure with this stoichiometry   2.32 eV per formula unit

abc: 3.6826 3.7301 7.1853
angles: 90.00 90.00 90.00
Positions (direct):
Ca1 0.5000 0.5000 0.2500
Te1 0.0000 0.0000 0.9711
Te2 0.0000 0.0000 0.5289
Pt1 0.5000 0.5000 0.7500


# 12
## Nd4CdIn2Ag (GGA-PBE)

Data for a relaxed structure of Nd4CdIn2Ag.

Results
Total magnetization   1.15 μB per cell
Calculated total energy   -3.930 eV per atom
Space-group type   R-3m
Energy relative to the elements   -0.39 eV per atom

abc: 5.4442 5.4442 9.4382
angles: 73.24 73.24 60.00
Each line ends with the local moment (μB).
Positions (direct):
Nd1 0.3773 0.3773 0.8682  0.11
Nd2 0.8728 0.8728 0.3815  0.16
Nd3 0.1272 0.1272 0.6185  0.16
Nd4 0.6227 0.6227 0.1318  0.11
Cd1 0.0000 0.0000 0.0000  0.01
In1 0.7481 0.7481 0.7557  0.00
In2 0.2519 0.2519 0.2443  0.00
Ag1 0.5000 0.5000 0.5000  0.03